No. 1
The following is a DFT calculation (GGA-PBE) of a relaxed structure of Rb2GaCl.

## Properties
Calculated total energy ... -18.19 eV/cell
Volume ... 46.82 Å³/atom
Energy relative to the elements, uncorrected ... -0.571 eV/atom
Energy above the lowest structure with this stoichiometry ... 0 meV per atom

```
8
Lattice="-3.253 0.949 8.653 3.222 -8.450 2.138 3.759 -2.001 6.623" Properties=species:S:1:pos:R:3 pbc="T T T"
Ga 0.000 0.000 0.000
Ga 0.245 -2.401 10.335
Rb -0.522 -1.013 6.882
Rb 2.378 -5.614 4.523
Rb 2.974 -4.752 9.124
Rb 2.624 -7.625 14.298
Cl -0.016 -3.751 5.395
Cl 3.482 -7.101 7.078
```

No. 2
The following is a DFT calculation (GGA-PBE) of a relaxed structure of PrPuPtI.

## Properties
Calculated total energy ... -30.32 eV/cell
Volume ... 31.14 Å³/atom
Energy relative to the elements, uncorrected ... -0.905 eV/atom

```
4
Lattice="4.204 -0.001 0.000 -2.102 3.641 0.000 -2.102 -1.213 8.137" Properties=species:S:1:pos:R:3 pbc="T T T"
Pr 0.397 -0.266 5.489
Pu -1.705 3.375 0.473
Pt -1.705 0.948 7.107
I 2.499 0.947 2.956
```

No. 3
The following is a DFT calculation (GGA-PBE) of a relaxed structure of RhAuS2.

## Properties
Calculated total energy ... -76.65 eV/cell
Volume ... 19.22 Å³/atom
Energy relative to the elements, uncorrected ... -0.070 eV/atom

```
16
Lattice="-6.115 -1.815 -1.716 -0.491 -4.522 6.533 -2.183 4.538 2.977" Properties=species:S:1:pos:R:3 pbc="T T T"
Rh -2.879 2.453 5.529
Rh -6.957 -2.074 3.692
Rh -4.064 -2.680 6.738
Rh -5.772 3.059 2.484
S -2.841 -4.107 5.414
S -5.326 1.015 1.531
S -2.390 0.808 4.000
S -5.777 -3.900 2.945
S -2.428 -1.111 6.796
S -5.700 -2.061 0.097
S -2.691 -1.594 1.592
S -5.438 -1.578 5.300
Au -6.392 -5.616 4.491
Au -1.539 2.034 2.133
Au -4.757 -0.350 3.409
Au -3.174 -3.232 3.215
```

Q: What is the volume in the third record?
A: 19.22 Å³/atom